PBE SiMo, relaxed; M_tot = 0.00 μB/f.u.; formation energy without anion corrections = 23.0 kJ per mole of atoms; N(E_F) = 3.5 states/eV/cell
1.0
2.676 0.000 0.000
0.000 2.676 0.000
0.000 0.000 8.304
Mo Si
2 2
Direct
0.750 0.750 0.363 Mo
0.250 0.250 0.637 Mo
0.750 0.750 0.874 Si
0.250 0.250 0.126 Si

---

PBE SiMo, relaxed; M_tot = 0.00 μB/f.u.; formation energy without anion corrections = -14.7 kJ per mole of atoms; N(E_F) = 8.0 states/eV/cell
1.0
-6.543 4.705 7.007
-2.196 -2.378 -0.454
2.102 -2.657 3.747
Mo Si
6 6
Direct
0.805 0.000 0.308 Mo
0.195 0.000 0.308 Mo
0.695 0.500 0.808 Mo
0.000 0.500 0.601 Mo
0.305 0.500 0.808 Mo
0.500 0.000 0.101 Mo
0.500 0.000 0.614 Si
0.633 0.500 0.336 Si
0.000 0.500 0.114 Si
0.133 0.000 0.836 Si
0.867 0.000 0.836 Si
0.367 0.500 0.336 Si

---

PBE SiMo, relaxed; M_tot = 0.00 μB/f.u.; formation energy without anion corrections = 33.7 kJ per mole of atoms; N(E_F) = 5.7 states/eV/cell
1.0
2.203 -3.815 0.000
2.203 3.815 0.000
0.000 0.000 7.648
Mo Si
4 4
Direct
0.667 0.333 0.250 Mo
0.000 0.000 0.750 Mo
0.000 0.000 0.250 Mo
0.333 0.667 0.750 Mo
0.333 0.667 0.087 Si
0.667 0.333 0.587 Si
0.667 0.333 0.913 Si
0.333 0.667 0.413 Si

---

PBE SiMo3, relaxed; M_tot = 0.00 μB/f.u.; formation energy without anion corrections = -1.5 kJ per mole of atoms; N(E_F) = 3.0 states/eV/cell
1.0
5.095 -0.001 -0.002
-2.296 4.548 -0.002
-2.296 -3.731 2.600
Mo Si
3 1
Direct
0.500 0.000 0.500 Mo
0.500 0.500 0.000 Mo
0.000 0.000 0.000 Mo
0.000 0.500 0.500 Si

---

PBE SiMo4, relaxed; M_tot = 0.00 μB/f.u.; formation energy without anion corrections = -15.3 kJ per mole of atoms; N(E_F) = 1.4 states/eV/cell
1.0
5.122 0.000 0.000
-4.125 3.036 0.000
-0.499 -1.518 4.866
Mo Si
4 1
Direct
0.605 0.801 0.405 Mo
0.395 0.199 0.595 Mo
0.801 0.395 0.196 Mo
0.199 0.605 0.804 Mo
0.000 0.000 0.000 Si

---

PBE SiMo, relaxed; M_tot = 0.00 μB/f.u.; formation energy without anion corrections = 3.7 kJ per mole of atoms; N(E_F) = 2.1 states/eV/cell
1.0
-6.688 3.214 -3.542
-7.473 0.382 -3.407
-7.869 2.130 -1.075
Si Mo
2 2
Direct
0.499 0.499 0.499 Si
0.251 0.251 0.251 Si
0.999 0.999 0.999 Mo
0.751 0.751 0.751 Mo

---

PBE SiMo, relaxed; M_tot = 0.00 μB/f.u.; formation energy without anion corrections = -3.6 kJ per mole of atoms; N(E_F) = 1.4 states/eV/cell
1.0
-2.570 -1.468 -1.747
-0.488 -2.217 2.581
-3.332 3.255 2.165
Si Mo
2 2
Direct
0.250 0.750 0.000 Si
0.750 0.250 0.000 Si
0.250 0.250 0.370 Mo
0.750 0.750 0.630 Mo

---

PBE SiMo, relaxed; M_tot = 0.00 μB/f.u.; formation energy without anion corrections = 109.1 kJ per mole of atoms; N(E_F) = 2.4 states/eV/cell
1.0
3.926 0.000 0.000
1.963 3.400 0.000
1.963 1.133 3.205
Mo Si
1 1
Direct
0.000 0.000 0.000 Mo
0.750 0.750 0.750 Si

---

PBE Si3Mo, relaxed; M_tot = 0.00 μB/f.u.; formation energy without anion corrections = 16.4 kJ per mole of atoms; N(E_F) = 2.2 states/eV/cell
1.0
4.628 -0.004 0.000
-1.361 4.423 0.000
0.000 0.000 2.726
Mo Si
1 3
Direct
0.000 0.000 0.000 Mo
0.000 0.500 0.500 Si
0.500 0.000 0.500 Si
0.500 0.500 0.000 Si

---

PBE Si3Mo, relaxed; M_tot = 0.00 μB/f.u.; formation energy without anion corrections = 21.8 kJ per mole of atoms; N(E_F) = 1.9 states/eV/cell
1.0
-0.539 1.958 -3.682
-4.010 -1.265 -0.086
-0.862 2.630 1.525
Si Mo
3 1
Direct
0.500 0.000 0.500 Si
0.500 0.500 0.000 Si
0.000 0.500 0.500 Si
0.000 0.000 0.000 Mo

---

PBE SiMo3, relaxed; M_tot = 0.00 μB/f.u.; formation energy without anion corrections = -3.8 kJ per mole of atoms; N(E_F) = 4.3 states/eV/cell
1.0
-0.297 -2.687 -1.716
1.850 -2.312 3.300
-3.844 -0.657 1.695
Mo Si
3 1
Direct
0.000 0.000 0.969 Mo
0.500 0.500 0.870 Mo
0.500 0.000 0.445 Mo
0.000 0.500 0.383 Si

---

PBE Si3Mo5, relaxed; M_tot = 0.00 μB/f.u.; formation energy without anion corrections = -30.8 kJ per mole of atoms; N(E_F) = 13.1 states/eV/cell
1.0
7.297 0.000 0.000
-3.648 6.319 0.000
0.000 0.000 5.077
Mo Si
10 6
Direct
0.333 0.667 0.000 Mo
0.000 0.239 0.750 Mo
0.239 0.239 0.250 Mo
0.761 0.000 0.250 Mo
0.000 0.761 0.250 Mo
0.667 0.333 0.000 Mo
0.761 0.761 0.750 Mo
0.667 0.333 0.500 Mo
0.239 0.000 0.750 Mo
0.333 0.667 0.500 Mo
0.000 0.606 0.750 Si
0.606 0.000 0.750 Si
0.394 0.000 0.250 Si
0.000 0.394 0.250 Si
0.394 0.394 0.750 Si
0.606 0.606 0.250 Si

---

What did the seventh record say?
PBE SiMo, relaxed; M_tot = 0.00 μB/f.u.; formation energy without anion corrections = -3.6 kJ per mole of atoms; N(E_F) = 1.4 states/eV/cell
1.0
-2.570 -1.468 -1.747
-0.488 -2.217 2.581
-3.332 3.255 2.165
Si Mo
2 2
Direct
0.250 0.750 0.000 Si
0.750 0.250 0.000 Si
0.250 0.250 0.370 Mo
0.750 0.750 0.630 Mo

---

Q: What is the formula in the fifth record?
A: SiMo4

---

Q: What is the M_tot in the eleventh record?
A: 0.00 μB/f.u.